[1]
16
Lattice="-4.1685 -1.0327 -7.4302 3.9598 -8.2326 -1.0773 -4.4030 1.4104 7.2302" Properties=species:S:1:pos:R:3 comment="Pr8AsP3I4 GGA-PBE optimized geometry" vol_a3_per_atom=30.9 energy_ev_per_atom=-5.441 pbc="T T T"
Pr -2.4524 -4.5705 4.4210
Pr -0.3112 -5.2563 0.9051
Pr -2.2760 -2.0828 1.5663
Pr -4.4793 -5.0727 0.8080
Pr -0.1323 -2.7822 -2.0853
Pr -2.3356 -5.7721 -2.8436
Pr -4.3003 -2.5986 -2.1824
Pr -2.1592 -3.2843 -5.6983
As 1.9799 -4.1163 -0.5387
P -0.1043 -4.6326 -4.2538
P -2.3058 -3.9274 -0.6386
P -0.2216 -3.4111 3.0765
I -2.0842 -0.5163 -3.7151
I -4.2857 0.1889 -0.1000
I 0.0000 0.0000 0.0000
I -2.2015 0.7052 3.6151

[2]
5
Lattice="-5.2529 0.6574 -2.4401 -2.0953 -1.0235 4.2350 0.0593 5.6590 1.3970" Properties=species:S:1:pos:R:3 comment="CoSnSb2Pb GGA-PBE optimized geometry" vol_a3_per_atom=32.9 energy_ev_per_atom=-3.579 pbc="T T T"
Pb 0.0000 0.0000 0.0000
Sb 0.0296 2.8295 0.6985
Sb -2.6265 0.3287 -1.2200
Co -1.0477 -0.5118 2.1175
Sn -3.6445 2.6464 1.5960

[3]
10
Lattice="3.1665 0.0000 -0.4242 0.0000 4.5167 0.0000 -0.0690 0.0000 11.5156" Properties=species:S:1:pos:R:3 comment="Nb2TcMo2 GGA-PBE optimized geometry" vol_a3_per_atom=16.5 formation_enthalpy_0k_kj_per_mol_atoms=-17.7 pbc="T T T"
Nb 2.0376 3.3875 3.1799
Nb 1.0599 1.1292 7.9116
Nb 1.3623 3.3875 10.1686
Nb 1.7352 1.1292 0.9228
Tc 2.6336 3.3875 7.6284
Tc 0.4638 1.1292 3.4631
Mo 0.1557 3.3875 1.1626
Mo 2.9418 1.1292 9.9289
Mo 0.7617 3.3875 5.6857
Mo 2.3358 1.1292 5.4057